A relaxed SrLiCa2 crystal. Source: Alexandria via LeMat-Bulk, functional PBE.

Properties
polymorph energy (0 for the lowest one): 0 kJ/mol of formula units
D(E_F): 0.88 states/eV/atom
energy: -1.88 eV per atom

a b c (Å): 4.087 4.087 9.511
angles (deg): 90.00 90.00 90.00
Fractional coordinates of all 4 atoms:
Sr 0.000 0.000 0.000
Li 0.000 0.000 0.500
Ca 0.500 0.500 0.301
Ca 0.500 0.500 0.699

***

A relaxed SrLi3Ca crystal. Source: Alexandria via LeMat-Bulk, functional PBE.

Properties
polymorph energy (0 for the lowest one): 157 kJ/mol of formula units
D(E_F): 0.85 states/eV/atom
energy: -1.47 eV per atom

a b c (Å): 5.713 5.713 5.713
angles (deg): 90.00 90.00 90.00
Fractional coordinates of all 5 atoms:
Sr 0.000 0.000 0.000
Li 0.000 0.500 0.500
Li 0.500 0.000 0.500
Li 0.500 0.500 0.000
Ca 0.500 0.500 0.500

***

A relaxed Sr8LiCa4 crystal. Source: Alexandria via LeMat-Bulk, functional PBE.

Properties
D(E_F): 1.12 states/eV/atom
energy: -1.76 eV per atom

a b c (Å): 6.502 6.502 17.454
angles (deg): 100.35 100.35 59.58
Fractional coordinates of all 13 atoms:
Sr 0.039 0.039 0.114
Sr 0.188 0.188 0.568
Sr 0.267 0.267 0.808
Sr 0.429 0.429 0.281
Sr 0.571 0.571 0.719
Sr 0.733 0.733 0.192
Sr 0.812 0.812 0.432
Sr 0.961 0.961 0.886
Li 0.500 0.500 0.500
Ca 0.115 0.115 0.340
Ca 0.347 0.347 0.039
Ca 0.653 0.653 0.961
Ca 0.885 0.885 0.660

***

A relaxed SrLi4Ca3 crystal. Source: Alexandria via LeMat-Bulk, functional PBE.

Properties
D(E_F): 0.88 states/eV/atom
energy: -1.89 eV per atom

a b c (Å): 5.685 5.685 8.137
angles (deg): 90.00 90.00 90.00
Fractional coordinates of all 8 atoms:
Sr 0.000 0.000 0.000
Li 0.000 0.500 0.261
Li 0.000 0.500 0.739
Li 0.500 0.000 0.261
Li 0.500 0.000 0.739
Ca 0.000 0.000 0.500
Ca 0.500 0.500 0.000
Ca 0.500 0.500 0.500

***

A relaxed SrLiCa2 crystal. Source: Alexandria via LeMat-Bulk, functional PBE.

Properties
polymorph energy (0 for the lowest one): 27 kJ/mol of formula units
D(E_F): 1.03 states/eV/atom
energy: -1.81 eV per atom

a b c (Å): 6.667 6.667 6.667
angles (deg): 131.44 131.44 71.11
Fractional coordinates of all 4 atoms:
Sr 0.000 0.000 0.000
Li 0.750 0.250 0.500
Ca 0.250 0.750 0.500
Ca 0.500 0.500 0.000

***

A relaxed Sr3LiCa6 crystal. Source: Alexandria via LeMat-Bulk, functional PBE.

Properties
polymorph energy (0 for the lowest one): 0 kJ/mol of formula units
D(E_F): 1.20 states/eV/atom
energy: -1.87 eV per atom

a b c (Å): 11.389 6.047 12.845
angles (deg): 90.00 99.22 90.00
Fractional coordinates of all 20 atoms:
Sr 0.044 0.250 0.404
Sr 0.148 0.750 0.217
Sr 0.261 0.250 0.020
Sr 0.739 0.750 0.980
Sr 0.852 0.250 0.783
Sr 0.956 0.750 0.596
Li 0.453 0.250 0.612
Li 0.547 0.750 0.388
Ca 0.061 0.750 0.905
Ca 0.186 0.250 0.707
Ca 0.292 0.750 0.521
Ca 0.359 0.750 0.820
Ca 0.380 0.250 0.336
Ca 0.459 0.750 0.123
Ca 0.541 0.250 0.877
Ca 0.620 0.750 0.664
Ca 0.641 0.250 0.180
Ca 0.708 0.250 0.479
Ca 0.814 0.750 0.293
Ca 0.939 0.250 0.095

***

A relaxed Sr3Li2Ca2 crystal. Source: Alexandria via LeMat-Bulk, functional PBE.

Properties
D(E_F): 0.91 states/eV/atom
energy: -1.81 eV per atom

a b c (Å): 13.196 13.196 4.243
angles (deg): 90.00 90.00 156.66
Fractional coordinates of all 7 atoms:
Sr 0.000 0.000 0.000
Sr 0.170 0.830 0.000
Sr 0.830 0.170 0.000
Li 0.283 0.717 0.500
Li 0.717 0.283 0.500
Ca 0.419 0.581 0.500
Ca 0.581 0.419 0.500

***

A relaxed Sr4Li2Ca crystal. Source: Alexandria via LeMat-Bulk, functional PBE.

Properties
polymorph energy (0 for the lowest one): 0 kJ/mol of formula units
D(E_F): 1.03 states/eV/atom
energy: -1.73 eV per atom

a b c (Å): 9.606 9.606 9.606
angles (deg): 38.21 38.21 38.21
Fractional coordinates of all 7 atoms:
Sr 0.086 0.086 0.086
Sr 0.355 0.355 0.355
Sr 0.645 0.645 0.645
Sr 0.914 0.914 0.914
Li 0.223 0.223 0.223
Li 0.777 0.777 0.777
Ca 0.500 0.500 0.500

***

Copy entry 2 word for word.
A relaxed SrLi3Ca crystal. Source: Alexandria via LeMat-Bulk, functional PBE.

Properties
polymorph energy (0 for the lowest one): 157 kJ/mol of formula units
D(E_F): 0.85 states/eV/atom
energy: -1.47 eV per atom

a b c (Å): 5.713 5.713 5.713
angles (deg): 90.00 90.00 90.00
Fractional coordinates of all 5 atoms:
Sr 0.000 0.000 0.000
Li 0.000 0.500 0.500
Li 0.500 0.000 0.500
Li 0.500 0.500 0.000
Ca 0.500 0.500 0.500